1.
A geometry-optimized SmEuHoMg structure. Source: Alexandria, functional GGA-PBE.

Values from the calculation:
total DFT energy (no corrections) = -5.218 eV/atom
calculated formation energy = 0.0734 eV/atom
SG = No. 216

```
4
Lattice="5.616 0.000 0.000 2.808 4.863 0.000 2.808 1.621 4.585" Properties=species:S:1:pos:R:3 pbc="T T T"
Mg 0.000 0.000 0.000
Eu 5.616 3.242 2.293
Sm 8.423 4.863 3.439
Ho 2.808 1.621 1.146
```

***

2.
A geometry-optimized EuHoMgTl structure. Source: Alexandria, functional GGA-PBE.

Values from the calculation:
total DFT energy (no corrections) = -4.931 eV/atom
calculated formation energy = -0.2274 eV/atom
SG = No. 216

```
4
Lattice="5.460 0.000 0.000 2.730 4.729 0.000 2.730 1.576 4.458" Properties=species:S:1:pos:R:3 pbc="T T T"
Mg 5.460 3.153 2.229
Eu 2.730 1.576 1.115
Tl 0.000 0.000 0.000
Ho 8.191 4.729 3.344
```

***

3.
A geometry-optimized EuHoMgZn structure. Source: Alexandria, functional GGA-PBE.

Values from the calculation:
total DFT energy (no corrections) = -4.551 eV/atom
calculated formation energy = -0.1208 eV/atom
SG = No. 216

```
4
Lattice="-0.312 -5.217 -0.916 1.174 -3.446 3.860 -3.851 -2.865 2.261" Properties=species:S:1:pos:R:3 pbc="T T T"
Zn -0.747 -2.882 1.301
Mg -2.242 -8.646 3.903
Eu 0.000 0.000 0.000
Ho -1.494 -5.764 2.602
```

***

4.
A geometry-optimized EuHo2Mn structure. Source: Alexandria, functional GGA-PBE.

Values from the calculation:
total DFT energy (no corrections) = -7.009 eV/atom
calculated formation energy = 0.1405 eV/atom
SG = No. 123

```
4
Lattice="3.489 0.000 0.000 0.000 3.489 0.000 0.000 0.000 9.340" Properties=species:S:1:pos:R:3 pbc="T T T"
Ho 0.000 0.000 7.646
Ho 0.000 0.000 1.694
Eu 1.744 1.744 4.670
Mn 1.744 1.744 0.000
```

***

5.
A geometry-optimized EuHoN structure. Source: Alexandria, functional GGA-PBE.

Values from the calculation:
ΔE_f (raw) = -0.91 eV per atom
total DFT energy (no corrections) = -8.639 eV/atom
SG = No. 156

```
3
Lattice="-2.299 -2.068 -1.762 0.399 -0.377 3.517 -4.572 4.252 0.975" Properties=species:S:1:pos:R:3 pbc="T T T"
N -3.072 0.051 0.354
Ho -2.952 1.339 2.280
Eu -0.449 0.417 0.096
```

***

6.
A geometry-optimized Eu2HoN structure. Source: Alexandria, functional GGA-PBE.

Values from the calculation:
ΔE_f (raw) = -0.41 eV per atom
total DFT energy (no corrections) = -8.775 eV/atom
SG = No. 166

```
4
Lattice="-1.544 1.375 -2.885 -1.871 -2.087 -2.177 -9.353 1.618 3.592" Properties=species:S:1:pos:R:3 pbc="T T T"
N -6.383 0.453 -0.735
Eu -6.409 0.953 1.700
Eu -6.358 -0.047 -3.170
Ho 0.000 0.000 0.000
```

***

7.
A geometry-optimized EuHoN structure. Source: Alexandria, functional GGA-PBE.

Values from the calculation:
ΔE_f (raw) = -0.70 eV per atom
total DFT energy (no corrections) = -8.427 eV/atom
SG = No. 107

```
3
Lattice="-2.074 1.435 2.163 -2.409 -0.034 -2.287 0.246 -6.893 2.257" Properties=species:S:1:pos:R:3 pbc="T T T"
N -3.380 -2.835 1.190
Eu -4.077 -4.997 1.956
Ho -1.017 -3.155 1.118
```

***

8.
A geometry-optimized EuHo3N structure. Source: Alexandria, functional GGA-PBE.

Values from the calculation:
ΔE_f (raw) = -0.45 eV per atom
total DFT energy (no corrections) = -6.912 eV/atom
SG = No. 221

```
5
Lattice="4.980 0.000 0.000 0.000 4.980 0.000 0.000 0.000 4.980" Properties=species:S:1:pos:R:3 pbc="T T T"
N 0.000 0.000 0.000
Ho 0.000 0.000 2.490
Ho 0.000 2.490 0.000
Ho 2.490 0.000 0.000
Eu 2.490 2.490 2.490
```

***

9.
A geometry-optimized NaEu2Ho structure. Source: Alexandria, functional GGA-PBE.

Values from the calculation:
total DFT energy (no corrections) = -6.447 eV/atom
calculated formation energy = 0.1647 eV/atom
SG = No. 123

```
4
Lattice="-3.309 -1.523 -1.361 3.200 -4.585 -2.651 -0.567 -3.376 5.155" Properties=species:S:1:pos:R:3 pbc="T T T"
Eu -0.283 -1.688 2.578
Eu 1.600 -2.293 -1.325
Na -1.655 -0.761 -0.680
Ho -0.338 -4.742 0.572
```

***

10.
A geometry-optimized NaEu2Ho structure. Source: Alexandria, functional GGA-PBE.

Values from the calculation:
total DFT energy (no corrections) = -6.513 eV/atom
calculated formation energy = 0.0984 eV/atom
SG = No. 166

```
4
Lattice="3.725 0.000 0.000 1.862 3.226 0.000 1.862 1.075 12.526" Properties=species:S:1:pos:R:3 pbc="T T T"
Na 3.725 2.151 6.263
Eu 1.862 1.075 2.989
Eu 5.587 3.226 9.537
Ho 0.000 0.000 0.000
```

***

11.
A geometry-optimized NaEu2Ho structure. Source: Alexandria, functional GGA-PBE.

Values from the calculation:
total DFT energy (no corrections) = -6.507 eV/atom
calculated formation energy = 0.1041 eV/atom
SG = No. 123

```
4
Lattice="-0.119 -3.642 0.677 3.161 0.253 1.919 -5.789 1.915 9.287" Properties=species:S:1:pos:R:3 pbc="T T T"
Eu -1.529 0.506 2.453
Eu -4.260 1.409 6.833
Na 1.521 -1.695 1.298
Ho -1.374 -0.737 5.941
```

***

12.
A geometry-optimized Na2EuHo structure. Source: Alexandria, functional GGA-PBE.

Values from the calculation:
total DFT energy (no corrections) = -4.073 eV/atom
calculated formation energy = 0.2994 eV/atom
SG = No. 166

```
4
Lattice="-3.154 -0.450 1.511 -0.736 -3.011 1.681 3.460 4.096 12.551" Properties=species:S:1:pos:R:3 pbc="T T T"
Ho 0.000 0.000 0.000
Na -2.686 -2.132 6.099
Na 2.256 2.768 9.645
Eu -0.215 0.318 7.872
```